Entry 1:
ZnAu5 (GGA-PBEsol, optimized geometry); DFT formation energy = -0.0813 eV/atom; space-group type = P4/mmm (123)
1.0
-2.298 -1.686 0.397
0.865 -0.546 2.690
-6.183 9.343 3.884
Zn Au
1 5
Direct
0.500 0.500 0.500 Zn
0.000 0.000 0.650 Au
0.500 0.500 0.827 Au
0.000 0.000 0.000 Au
0.500 0.500 0.173 Au
0.000 0.000 0.350 Au

---

Entry 2:
ZnAu5 (GGA-PBEsol, optimized geometry); DFT formation energy = -0.0936 eV/atom; space-group type = Cmmm (65)
1.0
-2.047 -2.041 2.525
-2.127 -1.742 -3.132
5.183 -3.522 -1.561
Zn Au
1 5
Direct
0.500 0.000 0.000 Zn
0.333 0.500 0.666 Au
0.158 0.000 0.317 Au
0.000 0.500 0.000 Au
0.842 0.000 0.683 Au
0.667 0.500 0.334 Au

---

Entry 3:
Zn2Au3 (GGA-PBEsol, optimized geometry); DFT formation energy = -0.1242 eV/atom; space-group type = R-3m (166)
1.0
2.901 0.000 0.000
1.450 2.512 0.000
1.450 0.837 10.862
Zn Au
2 3
Direct
0.399 0.399 0.804 Zn
0.601 0.601 0.196 Zn
0.000 0.000 0.000 Au
0.204 0.204 0.389 Au
0.796 0.796 0.611 Au